1.
A geometry-optimized CaSi4SnO10 structure. Source: Alexandria via LeMat-Bulk, functional PBE.

Calculated values
N(E_F)   0.00 states/eV/f.u.
Magnetic moment   0.0 μB/f.u.
Energy relative to the elements, uncorrected   -2.636 eV/atom
Space group   P4/ncc (130)
Raw total energy   -7.47 eV/atom

a b c (Å): 7.559 7.559 15.941
angles (deg): 90.00 90.00 90.00
Element x y z (fractional)
Ca: 0.500 0.500 0.500
Ca: 0.000 0.000 0.500
Ca: 0.000 0.000 0.000
Ca: 0.500 0.500 0.000
Si: 0.160 0.248 0.653
Si: 0.840 0.752 0.653
Si: 0.248 0.160 0.847
Si: 0.748 0.340 0.653
Si: 0.252 0.660 0.653
Si: 0.340 0.748 0.847
Si: 0.660 0.252 0.847
Si: 0.752 0.840 0.847
Si: 0.340 0.252 0.347
Si: 0.660 0.748 0.347
Si: 0.252 0.340 0.153
Si: 0.752 0.160 0.347
Si: 0.248 0.840 0.347
Si: 0.160 0.752 0.153
Si: 0.840 0.248 0.153
Si: 0.748 0.660 0.153
Sn: 0.500 0.000 0.539
Sn: 0.000 0.500 0.961
Sn: 0.000 0.500 0.461
Sn: 0.500 0.000 0.039
O: 0.232 0.104 0.586
O: 0.768 0.896 0.586
O: 0.104 0.232 0.914
O: 0.604 0.268 0.586
O: 0.396 0.732 0.586
O: 0.268 0.604 0.914
O: 0.732 0.396 0.914
O: 0.896 0.768 0.914
O: 0.268 0.396 0.414
O: 0.732 0.604 0.414
O: 0.396 0.268 0.086
O: 0.896 0.232 0.414
O: 0.104 0.768 0.414
O: 0.232 0.896 0.086
O: 0.768 0.104 0.086
O: 0.256 0.055 0.365
O: 0.604 0.732 0.086
O: 0.756 0.555 0.635
O: 0.445 0.244 0.865
O: 0.945 0.256 0.635
O: 0.055 0.744 0.635
O: 0.256 0.945 0.865
O: 0.744 0.055 0.865
O: 0.555 0.756 0.865
O: 0.695 0.695 0.250
O: 0.805 0.195 0.250
O: 0.195 0.805 0.250
O: 0.305 0.305 0.250
O: 0.805 0.805 0.750
O: 0.695 0.305 0.750
O: 0.305 0.695 0.750
O: 0.195 0.195 0.750
O: 0.945 0.744 0.135
O: 0.756 0.445 0.135
O: 0.244 0.555 0.135
O: 0.445 0.756 0.365
O: 0.555 0.244 0.365
O: 0.055 0.256 0.135
O: 0.744 0.945 0.365
O: 0.244 0.445 0.635

---

2.
A geometry-optimized Ca2Zn3Cu12Ge structure. Source: Alexandria via LeMat-Bulk, functional PBE.

Calculated values
Formation energy   0.10 eV/atom
N(E_F)   6.18 states/eV/f.u.
Magnetic moment   0.0 μB/f.u.
Space group   R-3m (166)
Raw total energy   -3.32 eV/atom

a b c (Å): 9.525 9.525 9.525
angles (deg): 38.42 38.42 38.42
Element x y z (fractional)
Ca: 0.650 0.650 0.650
Ca: 0.350 0.350 0.350
Zn: 0.500 0.000 0.000
Zn: 0.000 0.500 0.000
Zn: 0.000 0.000 0.500
Cu: 0.420 0.420 0.806
Cu: 0.932 0.932 0.353
Cu: 0.353 0.932 0.932
Cu: 0.806 0.420 0.420
Cu: 0.932 0.353 0.932
Cu: 0.420 0.806 0.420
Cu: 0.580 0.580 0.194
Cu: 0.068 0.068 0.647
Cu: 0.647 0.068 0.068
Cu: 0.194 0.580 0.580
Cu: 0.068 0.647 0.068
Cu: 0.580 0.194 0.580
Ge: 0.000 0.000 0.000

---

3.
A geometry-optimized TaInGe3 structure. Source: Alexandria via LeMat-Bulk, functional PBE.

Calculated values
Formation energy   0.32 eV/atom
N(E_F)   2.75 states/eV/f.u.
Magnetic moment   0.0 μB/f.u.
Space group   Pm-3m (221)
Raw total energy   -5.37 eV/atom

a b c (Å): 5.067 5.067 5.067
angles (deg): 90.00 90.00 90.00
Element x y z (fractional)
Ge: 0.000 0.500 0.000
Ge: 0.000 0.000 0.500
Ge: 0.500 0.000 0.000
In: 0.500 0.500 0.500
Ta: 0.000 0.000 0.000

---

Among the records above, which one has the highest N(E_F)?
Ca2Zn3Cu12Ge

---

Which of these has the lowest raw total energy?
CaSi4SnO10